# 1
This record from the Alexandria database describes a relaxed NaTiSbPb2 crystal. The functional is GGA-PBE.

- N(E_F): 5.7 states/eV per cell
- Formation energy without anion corrections: 0.550 eV per atom
- Magnetic moment: 0.059 μB per cell

```
data_NaTiSbPb2
_chemical_formula_sum 'Na1 Ti1 Sb1 Pb2'
_cell_length_a 6.0084
_cell_length_b 6.0084
_cell_length_c 5.1652
_cell_angle_alpha 90.00
_cell_angle_beta 90.00
_cell_angle_gamma 90.00
_space_group_name_H-M_alt 'P 4/m m m'
_space_group_IT_number 123
_space_group_name_Hall '-P 4 2'
loop_
_atom_site_label
_atom_site_type_symbol
_atom_site_fract_x
_atom_site_fract_y
_atom_site_fract_z
Na1 Na 0.0000 0.0000 0.0000
Ti1 Ti 0.5000 0.5000 0.0000
Sb1 Sb 0.5000 0.5000 0.5000
Pb1 Pb 0.0000 0.5000 0.5000
```

# 2
This record from the Alexandria database describes a relaxed LaPrCuSn crystal. The functional is GGA-PBE.

- N(E_F): 17.5 states/eV per cell
- E_form: -0.424 eV/atom
- Magnetic moment: 0.003 μB per cell

```
data_LaPrCuSn
_chemical_formula_sum 'La4 Pr4 Cu4 Sn4'
_cell_length_a 7.6319
_cell_length_b 7.6319
_cell_length_c 7.6319
_cell_angle_alpha 90.00
_cell_angle_beta 90.00
_cell_angle_gamma 90.00
_space_group_name_H-M_alt 'F -4 3 m'
_space_group_IT_number 216
_space_group_name_Hall 'F -4 2 3'
loop_
_atom_site_label
_atom_site_type_symbol
_atom_site_fract_x
_atom_site_fract_y
_atom_site_fract_z
La1 La 0.0000 0.0000 0.0000
Pr1 Pr 0.0000 0.0000 0.5000
Cu1 Cu 0.2500 0.2500 0.7500
Sn1 Sn 0.2500 0.2500 0.2500
```

# 3
This record from the Alexandria database describes a relaxed Zr2TlW crystal. The functional is GGA-PBE.

- N(E_F): 6.5 states/eV per cell
- E_form: 0.363 eV/atom
- Energy above the most stable polymorph in this dataset: 0.368 eV per atom
- Magnetic moment: 0.000 μB per cell

```
data_Zr2TlW
_chemical_formula_sum 'Zr4 Tl2 W2'
_cell_length_a 9.7275
_cell_length_b 3.0403
_cell_length_c 5.7817
_cell_angle_alpha 90.00
_cell_angle_beta 95.90
_cell_angle_gamma 90.00
_space_group_name_H-M_alt 'C 1 2/m 1'
_space_group_IT_number 12
loop_
_space_group_symop_operation_xyz
'x,y,z'
'-x,-y,-z'
'-x,y,-z'
'x,-y,z'
'x+1/2,y+1/2,z'
'-x+1/2,-y+1/2,-z'
'-x+1/2,y+1/2,-z'
'x+1/2,-y+1/2,z'
loop_
_atom_site_label
_atom_site_type_symbol
_atom_site_fract_x
_atom_site_fract_y
_atom_site_fract_z
Zr1 Zr 0.2464 0.0000 0.2663
Tl1 Tl 0.0000 0.5000 0.0000
W1 W 0.0000 0.0000 0.5000
```